This record from the Alexandria database describes a geometry-optimized ZnCu2NiH structure. The functional is GGA-PBE.

Properties
The space group is P4/mmm. The energy is -3.77 eV/atom.

Lattice parameters (Å, degrees): 3.781 3.781 3.544 90.00 90.00 90.00
Atoms (fractional coordinates):
1 Zn 0.000 0.000 0.000
2 Cu 0.000 0.500 0.500
3 Cu 0.500 0.000 0.500
4 Ni 0.500 0.500 0.000
5 H 0.500 0.500 0.500


This record from the Alexandria database describes a geometry-optimized HgMo2W structure. The functional is GGA-PBE.

Properties
The space group is P4/mmm. The value obtained for the energy of formation is 530 meV/atom. The energy is -8.20 eV/atom.

Lattice parameters (Å, degrees): 2.731 2.731 9.235 90.00 90.00 90.00
Atoms (fractional coordinates):
1 Hg 0.000 0.000 0.000
2 Mo 0.500 0.500 0.258
3 Mo 0.500 0.500 0.742
4 W 0.000 0.000 0.500


This record from the Alexandria database describes a geometry-optimized Ac8P3S3N structure. The functional is GGA-PBE.

Properties
The space group is R-3m. The value obtained for the formation energy (no corrections) is -22.77 eV per formula unit. The energy is -6.17 eV/atom.

Lattice parameters (Å, degrees): 8.627 8.627 8.627 60.54 60.54 60.54
Atoms (fractional coordinates):
1 Ac 0.227 0.770 0.770
2 Ac 0.230 0.230 0.773
3 Ac 0.230 0.773 0.230
4 Ac 0.249 0.249 0.249
5 Ac 0.751 0.751 0.751
6 Ac 0.770 0.227 0.770
7 Ac 0.770 0.770 0.227
8 Ac 0.773 0.230 0.230
9 P 0.000 0.000 0.500
10 P 0.000 0.500 0.000
11 P 0.500 0.000 0.000
12 S 0.000 0.500 0.500
13 S 0.500 0.000 0.500
14 S 0.500 0.500 0.000
15 N 0.000 0.000 0.000


This record from the Alexandria database describes a geometry-optimized La6PmCd3 structure. The functional is GGA-PBE.

Properties
The space group is Cmc2_1. The value obtained for the energy of formation is -114 meV/atom. The energy is -3.82 eV/atom.

Lattice parameters (Å, degrees): 9.745 9.745 7.020 90.00 90.00 94.54
Atoms (fractional coordinates):
1 La 0.004 0.436 0.128
2 La 0.077 0.923 0.500
3 La 0.262 0.305 0.807
4 La 0.297 0.703 0.803
5 La 0.305 0.262 0.307
6 La 0.436 0.004 0.628
7 La 0.564 0.996 0.128
8 La 0.695 0.738 0.807
9 La 0.703 0.297 0.303
10 La 0.738 0.695 0.307
11 La 0.923 0.077 0.000
12 La 0.996 0.564 0.628
13 Pm 0.308 0.692 0.288
14 Pm 0.692 0.308 0.788
15 Cd 0.013 0.764 0.036
16 Cd 0.236 0.987 0.036
17 Cd 0.497 0.503 0.551
18 Cd 0.503 0.497 0.051
19 Cd 0.764 0.013 0.536
20 Cd 0.987 0.236 0.536


This record from the Alexandria database describes a geometry-optimized TiAl2Fe2 structure. The functional is GGA-PBE.

Properties
The space group is Cmmm. The value obtained for the energy of formation is -283 meV/atom. The energy is -6.74 eV/atom.

Lattice parameters (Å, degrees): 8.248 8.248 2.939 90.00 90.00 159.86
Atoms (fractional coordinates):
1 Ti 0.000 0.000 0.000
2 Al 0.175 0.825 0.000
3 Al 0.825 0.175 0.000
4 Fe 0.409 0.591 0.500
5 Fe 0.591 0.409 0.500


This record from the Alexandria database describes a geometry-optimized TbTmOsAu structure. The functional is GGA-PBE.

Properties
The space group is F-43m. The value obtained for the energy of formation is -499 meV/atom. The energy is -6.40 eV/atom.

Lattice parameters (Å, degrees): 4.921 4.921 4.921 60.00 60.00 60.00
Atoms (fractional coordinates):
1 Tb 0.000 0.000 0.000
2 Tm 0.500 0.500 0.500
3 Os 0.250 0.250 0.250
4 Au 0.750 0.750 0.750


This record from the Alexandria database describes a geometry-optimized Nd12Er6Cd structure. The functional is GGA-PBE.

Properties
The space group is R-3m. The value obtained for the energy of formation is 115 meV/atom. The energy is -4.39 eV/atom.

Lattice parameters (Å, degrees): 8.726 8.726 8.726 97.65 97.65 97.65
Atoms (fractional coordinates):
1 Nd 0.000 0.259 0.741
2 Nd 0.000 0.741 0.259
3 Nd 0.170 0.580 0.580
4 Nd 0.259 0.000 0.741
5 Nd 0.259 0.741 0.000
6 Nd 0.420 0.420 0.830
7 Nd 0.420 0.830 0.420
8 Nd 0.580 0.170 0.580
9 Nd 0.580 0.580 0.170
10 Nd 0.741 0.000 0.259
11 Nd 0.741 0.259 0.000
12 Nd 0.830 0.420 0.420
13 Er 0.137 0.137 0.406
14 Er 0.137 0.406 0.137
15 Er 0.406 0.137 0.137
16 Er 0.594 0.863 0.863
17 Er 0.863 0.594 0.863
18 Er 0.863 0.863 0.594
19 Cd 0.000 0.000 0.000


This record from the Alexandria database describes a geometry-optimized ZrSnPCl2 structure. The functional is GGA-PBE.

Properties
The space group is P4/mmm. The value obtained for the formation energy (no corrections) is -2.80 eV per formula unit. The energy is -4.89 eV/atom.

Lattice parameters (Å, degrees): 4.965 4.965 5.251 90.00 90.00 90.00
Atoms (fractional coordinates):
1 Zr 0.000 0.000 0.000
2 Sn 0.500 0.500 0.500
3 P 0.000 0.000 0.500
4 Cl 0.000 0.500 0.000
5 Cl 0.500 0.000 0.000